# 1
{
  "formula": "ReTc3Pd",
  "functional": "PBE",
  "state": "relaxed",
  "space_group": "Pm-3m",
  "dft_energy_ha_per_atom": -0.2947,
  "formation_enthalpy_0k_kj_per_mol_fu": 834,
  "lattice_angstrom": [[4.6512, 0.0000, 0.0000], [0.0000, 4.6512, 0.0000], [0.0000, 0.0000, 4.6512]],
  "species": ["Re", "Tc", "Tc", "Tc", "Pd"],
  "frac_coords": [[0.0000, 0.0000, 0.0000], [0.0000, 0.0000, 0.5000], [0.0000, 0.5000, 0.0000], [0.5000, 0.0000, 0.0000], [0.5000, 0.5000, 0.5000]]
}

---

# 2
{
  "formula": "Sr2TlW",
  "functional": "PBE",
  "state": "relaxed",
  "space_group": "P4/mmm",
  "dft_energy_ha_per_atom": -0.1408,
  "formation_enthalpy_0k_kj_per_mol_fu": 324,
  "lattice_angstrom": [[5.6191, 0.0000, 0.0000], [0.0000, 5.6191, 0.0000], [0.0000, 0.0000, 3.9229]],
  "species": ["Sr", "Sr", "Tl", "W"],
  "frac_coords": [[0.0000, 0.5000, 0.0000], [0.5000, 0.0000, 0.0000], [0.0000, 0.0000, 0.5000], [0.5000, 0.5000, 0.5000]]
}

---

# 3
{
  "formula": "Re2Hg",
  "functional": "PBE",
  "state": "relaxed",
  "space_group": "C2/m",
  "dft_energy_ha_per_atom": -0.2893,
  "formation_enthalpy_0k_kj_per_mol_fu": 152,
  "lattice_angstrom": [[5.2538, -1.4276, 0.0000], [5.2538, 1.4276, 0.0000], [-2.8146, 0.0000, 6.8993]],
  "species": ["Re", "Re", "Re", "Re", "Hg", "Hg"],
  "frac_coords": [[0.0520, 0.0520, 0.2506], [0.3621, 0.3621, 0.9840], [0.6379, 0.6379, 0.0160], [0.9480, 0.9480, 0.7494], [0.3453, 0.3453, 0.3770], [0.6547, 0.6547, 0.6230]]
}

---

# 4
{
  "formula": "Li2TmMg9",
  "functional": "PBE",
  "state": "relaxed",
  "space_group": "P4/mmm",
  "dft_energy_ha_per_atom": -0.0704,
  "formation_enthalpy_0k_kj_per_mol_fu": -33,
  "lattice_angstrom": [[4.5044, 0.0000, 0.0000], [0.0000, 4.5044, 0.0000], [0.0000, 0.0000, 13.5809]],
  "species": ["Li", "Li", "Tm", "Mg", "Mg", "Mg", "Mg", "Mg", "Mg", "Mg", "Mg", "Mg"],
  "frac_coords": [[0.0000, 0.0000, 0.1670], [0.0000, 0.0000, 0.8330], [0.0000, 0.0000, 0.5000], [0.0000, 0.5000, 0.0000], [0.0000, 0.5000, 0.3244], [0.0000, 0.5000, 0.6756], [0.5000, 0.0000, 0.0000], [0.5000, 0.0000, 0.3244], [0.5000, 0.0000, 0.6756], [0.5000, 0.5000, 0.1582], [0.5000, 0.5000, 0.5000], [0.5000, 0.5000, 0.8418]]
}

---

# 5
{
  "formula": "Na2CdHgAs",
  "functional": "PBE",
  "state": "relaxed",
  "space_group": "P4/mmm",
  "dft_energy_ha_per_atom": -0.0689,
  "formation_enthalpy_0k_kj_per_mol_fu": -84,
  "lattice_angstrom": [[5.6164, 0.0000, 0.0000], [0.0000, 5.6164, 0.0000], [0.0000, 0.0000, 5.3786]],
  "species": ["Na", "Na", "Cd", "Hg", "As"],
  "frac_coords": [[0.0000, 0.5000, 0.0000], [0.5000, 0.0000, 0.0000], [0.0000, 0.0000, 0.5000], [0.5000, 0.5000, 0.5000], [0.0000, 0.0000, 0.0000]]
}

---

# 6
{
  "formula": "ZrRuI2N",
  "functional": "PBE",
  "state": "relaxed",
  "space_group": "P4/mmm",
  "dft_energy_ha_per_atom": -0.1968,
  "raw_formation_energy_mev_per_atom": 495.6,
  "lattice_angstrom": [[5.5624, 0.0000, 0.0000], [0.0000, 5.5624, 0.0000], [0.0000, 0.0000, 3.6792]],
  "species": ["Zr", "Ru", "I", "I", "N"],
  "frac_coords": [[0.0000, 0.0000, 0.0000], [0.5000, 0.5000, 0.5000], [0.0000, 0.5000, 0.5000], [0.5000, 0.0000, 0.5000], [0.5000, 0.5000, 0.0000]]
}

---

# 7
{
  "formula": "La2DyHo2Tm2",
  "functional": "PBE",
  "state": "relaxed",
  "space_group": "C2/m",
  "dft_energy_ha_per_atom": -0.1677,
  "formation_enthalpy_0k_kj_per_mol_fu": 58,
  "lattice_angstrom": [[5.8660, -1.7563, 0.0000], [5.8660, 1.7563, 0.0000], [-3.8851, 0.0000, 11.2191]],
  "species": ["La", "La", "Dy", "Ho", "Ho", "Tm", "Tm"],
  "frac_coords": [[0.1708, 0.1708, 0.0839], [0.8292, 0.8292, 0.9161], [0.5000, 0.5000, 0.5000], [0.0485, 0.0485, 0.7663], [0.9515, 0.9515, 0.2337], [0.2729, 0.2729, 0.6325], [0.7271, 0.7271, 0.3675]]
}

---

# 8
{
  "formula": "AcErTm2",
  "functional": "PBE",
  "state": "relaxed",
  "space_group": "P4/mmm",
  "dft_energy_ha_per_atom": -0.1590,
  "formation_enthalpy_0k_kj_per_mol_fu": 29,
  "lattice_angstrom": [[5.1399, 0.0000, 0.0000], [0.0000, 5.1399, 0.0000], [0.0000, 0.0000, 5.0862]],
  "species": ["Ac", "Er", "Tm", "Tm"],
  "frac_coords": [[0.0000, 0.0000, 0.0000], [0.5000, 0.5000, 0.0000], [0.0000, 0.5000, 0.5000], [0.5000, 0.0000, 0.5000]]
}

---

# 9
{
  "formula": "Al8CoNi2",
  "functional": "PBE",
  "state": "relaxed",
  "space_group": "Immm",
  "dft_energy_ha_per_atom": -0.1742,
  "formation_enthalpy_0k_kj_per_mol_fu": -340,
  "lattice_angstrom": [[-1.9600, 3.3904, 5.8147], [1.9600, -3.3904, 5.8147], [1.9600, 3.3904, -5.8147]],
  "species": ["Al", "Al", "Al", "Al", "Al", "Al", "Al", "Al", "Co", "Ni", "Ni"],
  "frac_coords": [[0.1144, 0.3391, 0.7753], [0.1466, 0.1466, 0.0000], [0.3031, 0.0000, 0.3031], [0.4362, 0.6609, 0.7753], [0.5638, 0.3391, 0.2247], [0.6969, 0.0000, 0.6969], [0.8534, 0.8534, 0.0000], [0.8856, 0.6609, 0.2247], [0.0000, 0.5000, 0.5000], [0.3152, 0.8152, 0.5000], [0.6848, 0.1848, 0.5000]]
}

---

# 10
{
  "formula": "K2HfSc2Te6",
  "functional": "PBE",
  "state": "relaxed",
  "space_group": "C2/m",
  "dft_energy_ha_per_atom": -0.1880,
  "raw_formation_energy_mev_per_atom": -1145.5,
  "lattice_angstrom": [[3.6273, -6.2771, 0.0000], [3.6273, 6.2771, 0.0000], [-2.4635, 0.0000, 8.4593]],
  "species": ["K", "K", "Hf", "Sc", "Sc", "Te", "Te", "Te", "Te", "Te", "Te"],
  "frac_coords": [[0.1674, 0.8326, 0.0000], [0.8326, 0.1674, 0.0000], [0.0000, 0.0000, 0.5000], [0.3318, 0.6682, 0.5000], [0.6682, 0.3318, 0.5000], [0.0700, 0.3966, 0.6979], [0.2648, 0.2648, 0.3039], [0.3966, 0.0700, 0.6979], [0.6034, 0.9300, 0.3021], [0.7352, 0.7352, 0.6961], [0.9300, 0.6034, 0.3021]]
}

---

# 11
{
  "formula": "BeNi2Pb",
  "functional": "PBE",
  "state": "relaxed",
  "space_group": "Immm",
  "dft_energy_ha_per_atom": -0.1682,
  "formation_enthalpy_0k_kj_per_mol_fu": 66,
  "lattice_angstrom": [[-1.7471, 2.2392, 3.5156], [1.7471, -2.2392, 3.5156], [1.7471, 2.2392, -3.5156]],
  "species": ["Be", "Ni", "Ni", "Pb"],
  "frac_coords": [[0.0000, 0.0000, 0.0000], [0.1975, 0.6975, 0.5000], [0.8025, 0.3025, 0.5000], [0.5000, 0.5000, 0.0000]]
}